(1)
A geometry-optimized PrY3Ho5 structure, computed with PBE.

Cell: 9.313 9.313 12.271 Å, 126.03 126.03 50.67°
Sites, in units of the cell vectors:
Pr  0.237  0.237  0.129
Pr  0.763  0.763  0.871
Y  0.000  0.000  0.000
Y  0.175  0.175  0.343
Y  0.380  0.380  0.687
Y  0.500  0.500  0.500
Y  0.620  0.620  0.313
Y  0.825  0.825  0.657
Ho  0.122  0.122  0.565
Ho  0.141  0.730  0.220
Ho  0.270  0.859  0.780
Ho  0.299  0.299  0.927
Ho  0.321  0.679  0.000
Ho  0.679  0.321  0.000
Ho  0.701  0.701  0.073
Ho  0.730  0.141  0.220
Ho  0.859  0.270  0.780
Ho  0.878  0.878  0.435

- excess energy over the best structure of this formula in the dataset (eV per atom) = 0.076
- E_form (eV/atom) = 0.42
- DFT total energy (eV/atom) = -4.8128
- symmetry = C2/m

(2)
A geometry-optimized PrYHo14 structure, computed with PBE.

Cell: 11.442 7.111 7.111 Å, 60.04 90.00 90.00°
Sites, in units of the cell vectors:
Pr  0.000  0.000  0.000
Y  0.000  0.500  0.500
Ho  0.000  0.000  0.500
Ho  0.000  0.500  0.000
Ho  0.251  0.667  0.667
Ho  0.252  0.167  0.167
Ho  0.253  0.167  0.667
Ho  0.253  0.667  0.167
Ho  0.500  0.334  0.334
Ho  0.500  0.334  0.834
Ho  0.500  0.834  0.334
Ho  0.500  0.834  0.834
Ho  0.747  0.167  0.667
Ho  0.747  0.667  0.167
Ho  0.748  0.167  0.167
Ho  0.749  0.667  0.667

- E_form (eV/atom) = 0.01
- DFT total energy (eV/atom) = -4.7013
- symmetry = Amm2

(3)
A geometry-optimized Pr6YHo structure, computed with PBE.

Cell: 5.193 5.193 10.387 Å, 90.00 90.00 90.00°
Sites, in units of the cell vectors:
Pr  0.000  0.000  0.000
Pr  0.000  0.000  0.500
Pr  0.000  0.500  0.249
Pr  0.000  0.500  0.751
Pr  0.500  0.000  0.249
Pr  0.500  0.000  0.751
Y  0.500  0.500  0.500
Ho  0.500  0.500  0.000

- excess energy over the best structure of this formula in the dataset (eV per atom) = 0.000
- E_form (eV/atom) = 0.01
- DFT total energy (eV/atom) = -4.9524
- symmetry = P4/mmm

(4)
A geometry-optimized Pr2YHo structure, computed with PBE.

Cell: 3.649 3.649 10.175 Å, 90.00 90.00 90.00°
Sites, in units of the cell vectors:
Pr  0.000  0.000  0.248
Pr  0.000  0.000  0.752
Y  0.500  0.500  0.500
Ho  0.500  0.500  0.000

- excess energy over the best structure of this formula in the dataset (eV per atom) = 0.009
- E_form (eV/atom) = 0.02
- DFT total energy (eV/atom) = -5.1307
- symmetry = P4/mmm

(5)
A geometry-optimized PrY7Ho3 structure, computed with PBE.

Cell: 6.934 5.572 9.975 Å, 90.00 109.13 90.00°
Sites, in units of the cell vectors:
Pr  0.000  0.000  0.000
Y  0.000  0.000  0.500
Y  0.148  0.500  0.788
Y  0.324  0.500  0.141
Y  0.427  0.000  0.332
Y  0.573  0.000  0.668
Y  0.676  0.500  0.859
Y  0.852  0.500  0.212
Ho  0.276  0.500  0.496
Ho  0.500  0.000  0.000
Ho  0.724  0.500  0.504

- excess energy over the best structure of this formula in the dataset (eV per atom) = 0.000
- E_form (eV/atom) = 0.14
- DFT total energy (eV/atom) = -5.6535
- symmetry = P2/m

(6)
A geometry-optimized PrY7Ho4 structure, computed with PBE.

Cell: 6.730 6.730 12.668 Å, 114.47 114.47 51.84°
Sites, in units of the cell vectors:
Pr  0.000  0.000  0.000
Y  0.058  0.058  0.331
Y  0.210  0.210  0.922
Y  0.365  0.365  0.495
Y  0.500  0.500  0.000
Y  0.635  0.635  0.505
Y  0.790  0.790  0.078
Y  0.942  0.942  0.669
Ho  0.251  0.251  0.684
Ho  0.367  0.367  0.226
Ho  0.633  0.633  0.774
Ho  0.749  0.749  0.316

- excess energy over the best structure of this formula in the dataset (eV per atom) = 0.199
- E_form (eV/atom) = 0.28
- DFT total energy (eV/atom) = -5.4101
- symmetry = C2/m